Compound: TcSe2Cl
Source: the Alexandria database
Functional: PBE-GGA
Structure: optimized geometry

## Properties
Excess energy over the best structure of this formula in the dataset = 0.831 eV/atom
Raw formation energy = 0.611 eV/atom
Symmetry = Cmmm

a b c (Å): 5.0268 5.0268 3.6190
angles (deg): 90.00 90.00 119.91
Site moments in Bohr magnetons follow the coordinates.
Positions (direct):
Cl  0.0000  0.5000  0.5000  0.06
Se  0.0000  0.0000  0.0000  -0.07
Se  0.5000  0.5000  0.0000  -0.07
Tc  0.5000  0.0000  0.5000  2.24

Compound: Nd2FeN
Source: the Alexandria database
Functional: PBE-GGA
Structure: optimized geometry

## Properties
Raw formation energy = -0.058 eV/atom
Symmetry = R-3m

a b c (Å): 3.4719 3.4719 8.7593
angles (deg): 78.57 78.57 60.00
Site moments in Bohr magnetons follow the coordinates.
Positions (direct):
Nd  0.1101  0.1101  0.6697  -0.13
Nd  0.8899  0.8899  0.3303  -0.13
Fe  0.0000  0.0000  0.0000  2.81
N  0.5000  0.5000  0.5000  -0.01

- Which of these has the highest raw formation energy?
  TcSe2Cl